Density functional theory data (GGA-PBE) for crystalline Gd2MgSc at its relaxed geometry.

Geometry as CIF:
```
data_Gd2MgSc
_cell_length_a 3.3724
_cell_length_b 3.3724
_cell_length_c 35.8991
_cell_angle_alpha 90.00
_cell_angle_beta 90.00
_cell_angle_gamma 120.00
_space_group_name_H-M_alt 'R -3 m'
_space_group_IT_number 166
_space_group_name_Hall '-R 3 2"'
loop_
_atom_site_label
_atom_site_type_symbol
_atom_site_fract_x
_atom_site_fract_y
_atom_site_fract_z
Gd1 Gd 0.0000 0.0000 0.0912
Mg1 Mg 0.0000 0.0000 0.0000
Sc1 Sc 0.0000 0.0000 0.5000
```

Values from the calculation:
- distance to the lowest polymorph of the same formula (meV per atom) = 207.1